Record 1
FeCo2 | meta-GGA SCAN | PBEsol geometry

Output
The total energy is -51.121 eV for the cell shown.

CIF file:
```
data_FeCo2
_chemical_formula_sum 'Fe1 Co2'
_symmetry_space_group_name_H-M 'P 4/m m m'
_symmetry_Int_Tables_number 123
_symmetry_space_group_name_Hall '-P 4 2'
_cell_length_a 3.866
_cell_length_b 3.866
_cell_length_c 2.560
_cell_angle_alpha 90.00
_cell_angle_beta 90.00
_cell_angle_gamma 90.00
loop_
_atom_site_label
_atom_site_type_symbol
_atom_site_fract_x
_atom_site_fract_y
_atom_site_fract_z
Fe1 Fe 0.000 0.000 0.000
Co1 Co 0.000 0.500 0.500
```

---

Record 2
SrLiGaN2 | meta-GGA SCAN | PBEsol geometry

Output
The calculation puts the formation energy from raw total energies at -769 meV per atom.

CIF file:
```
data_SrLiGaN2
_chemical_formula_sum 'Sr12 Li12 Ga12 N24'
_symmetry_space_group_name_H-M 'C 1 2/m 1'
_symmetry_Int_Tables_number 12
_symmetry_space_group_name_Hall '-C 2y'
_cell_length_a 6.048
_cell_length_b 10.100
_cell_length_c 12.576
_cell_angle_alpha 90.00
_cell_angle_beta 91.26
_cell_angle_gamma 90.00
loop_
_atom_site_label
_atom_site_type_symbol
_atom_site_fract_x
_atom_site_fract_y
_atom_site_fract_z
Sr1 Sr 0.000 0.166 0.000
Sr2 Sr 0.000 0.180 0.500
Sr3 Sr 0.051 0.000 0.256
Li1 Li 0.098 0.500 0.920
Li2 Li 0.131 0.319 0.681
Ga1 Ga 0.110 0.500 0.412
Ga2 Ga 0.150 0.337 0.187
N1 N 0.176 0.323 0.851
N2 N 0.204 0.340 0.343
N3 N 0.220 0.500 0.567
N4 N 0.248 0.500 0.108
```

---

Record 3
Cs2SeI | meta-GGA SCAN | PBEsol geometry

Output
The calculation puts the formation energy from raw total energies at -1139 meV per atom.

CIF file:
```
data_Cs2SeI
_chemical_formula_sum 'Cs8 Se4 I4'
_symmetry_space_group_name_H-M 'F m -3 m'
_symmetry_Int_Tables_number 225
_symmetry_space_group_name_Hall '-F 4 2 3'
_cell_length_a 8.762
_cell_length_b 8.762
_cell_length_c 8.762
_cell_angle_alpha 90.00
_cell_angle_beta 90.00
_cell_angle_gamma 90.00
loop_
_atom_site_label
_atom_site_type_symbol
_atom_site_fract_x
_atom_site_fract_y
_atom_site_fract_z
Cs1 Cs 0.250 0.250 0.250
Se1 Se 0.000 0.000 0.000
I1 I 0.000 0.000 0.500
```

---

Record 4
TeAu8 | meta-GGA SCAN | PBEsol geometry

Output
The calculation puts the formation energy from raw total energies at 78 meV per atom.

CIF file:
```
data_TeAu8
_chemical_formula_sum 'Te2 Au16'
_symmetry_space_group_name_H-M 'I 4/m m m'
_symmetry_Int_Tables_number 139
_symmetry_space_group_name_Hall '-I 4 2'
_cell_length_a 8.906
_cell_length_b 8.906
_cell_length_c 4.060
_cell_angle_alpha 90.00
_cell_angle_beta 90.00
_cell_angle_gamma 90.00
loop_
_atom_site_label
_atom_site_type_symbol
_atom_site_fract_x
_atom_site_fract_y
_atom_site_fract_z
Te1 Te 0.000 0.000 0.000
Au1 Au 0.000 0.337 0.000
Au2 Au 0.172 0.172 0.500
```

---

Record 5
MnRe2Mo | meta-GGA SCAN | PBEsol geometry

Output
The distance to the lowest polymorph of the same formula is 14.6 meV/atom.

CIF file:
```
data_MnRe2Mo
_chemical_formula_sum 'Mn1 Re2 Mo1'
_symmetry_space_group_name_H-M 'P 1 m 1'
_symmetry_Int_Tables_number 6
_symmetry_space_group_name_Hall 'P -2y'
_cell_length_a 2.634
_cell_length_b 4.288
_cell_length_c 5.086
_cell_angle_alpha 90.00
_cell_angle_beta 100.58
_cell_angle_gamma 90.00
loop_
_atom_site_label
_atom_site_type_symbol
_atom_site_fract_x
_atom_site_fract_y
_atom_site_fract_z
Mn1 Mn 0.000 0.000 0.000
Re1 Re 0.283 0.500 0.751
Re2 Re 0.548 0.000 0.500
Mo1 Mo 0.782 0.500 0.238
```

---

Record 6
Sm3Rh2 | meta-GGA SCAN | PBEsol geometry

Output
The total energy is -1842.759 eV for the cell shown.

CIF file:
```
data_Sm3Rh2
_chemical_formula_sum 'Sm27 Rh18'
_symmetry_space_group_name_H-M 'R -3'
_symmetry_Int_Tables_number 148
_symmetry_space_group_name_Hall '-R 3'
_cell_length_a 8.6384
_cell_length_b 8.6384
_cell_length_c 16.3265
_cell_angle_alpha 90.00
_cell_angle_beta 90.00
_cell_angle_gamma 120.00
loop_
_atom_site_label
_atom_site_type_symbol
_atom_site_fract_x
_atom_site_fract_y
_atom_site_fract_z
Sm1 Sm 0.0000 0.0000 0.0000
Sm2 Sm 0.0000 0.0000 0.2037
Sm3 Sm 0.0140 0.2573 0.5931
Rh1 Rh 0.0206 0.6132 0.5698
```

---

Record 7
Cd3B7O14 | meta-GGA SCAN | PBEsol geometry

Output
The calculation puts the formation energy from raw total energies at -2252 meV per atom.

CIF file:
```
data_Cd3B7O14
_chemical_formula_sum 'Cd18 B42 O84'
_symmetry_space_group_name_H-M 'R 3 c'
_symmetry_Int_Tables_number 161
_symmetry_space_group_name_Hall 'R 3 -2"c'
_cell_length_a 8.8339
_cell_length_b 8.8339
_cell_length_c 21.4596
_cell_angle_alpha 90.00
_cell_angle_beta 90.00
_cell_angle_gamma 120.00
loop_
_atom_site_label
_atom_site_type_symbol
_atom_site_fract_x
_atom_site_fract_y
_atom_site_fract_z
Cd1 Cd 0.1959 0.3978 0.0000
B1 B 0.0000 0.0000 0.0477
B2 B 0.1661 0.3391 0.7347
B3 B 0.1991 0.0989 0.1809
O1 O 0.0000 0.0000 0.1666
O2 O 0.0000 0.0000 0.3666
O3 O 0.0283 0.2824 0.1911
O4 O 0.1196 0.3679 0.2960
O5 O 0.1253 0.4376 0.4030
O6 O 0.1595 0.0085 0.0452
```

---

Record 8
Tl2HgSb | meta-GGA SCAN | PBEsol geometry

Output
The distance to the lowest polymorph of the same formula is 47.7 meV/atom. The calculation puts the formation energy from raw total energies at 49 meV per atom.

CIF file:
```
data_Tl2HgSb
_chemical_formula_sum 'Tl4 Hg2 Sb2'
_symmetry_space_group_name_H-M 'C m m 2'
_symmetry_Int_Tables_number 35
_symmetry_space_group_name_Hall 'C 2 -2'
_cell_length_a 4.007
_cell_length_b 5.189
_cell_length_c 10.292
_cell_angle_alpha 90.00
_cell_angle_beta 90.00
_cell_angle_gamma 90.00
loop_
_atom_site_label
_atom_site_type_symbol
_atom_site_fract_x
_atom_site_fract_y
_atom_site_fract_z
Tl1 Tl 0.000 0.000 0.000
Tl2 Tl 0.000 0.500 0.271
Hg1 Hg 0.000 0.500 0.761
Sb1 Sb 0.000 0.000 0.524
```

---

Record 9
ScMo2H | meta-GGA SCAN | PBEsol geometry

Output
The total energy is -327.387 eV for the cell shown.

CIF file:
```
data_ScMo2H
_chemical_formula_sum 'Sc4 Mo8 H4'
_symmetry_space_group_name_H-M 'F m -3 m'
_symmetry_Int_Tables_number 225
_symmetry_space_group_name_Hall '-F 4 2 3'
_cell_length_a 6.060
_cell_length_b 6.060
_cell_length_c 6.060
_cell_angle_alpha 90.00
_cell_angle_beta 90.00
_cell_angle_gamma 90.00
loop_
_atom_site_label
_atom_site_type_symbol
_atom_site_fract_x
_atom_site_fract_y
_atom_site_fract_z
Sc1 Sc 0.000 0.000 0.000
Mo1 Mo 0.250 0.250 0.250
H1 H 0.000 0.000 0.500
```

---

Record 10
RbMn2Mo | meta-GGA SCAN | PBEsol geometry

Output
The total energy is -348.129 eV for the cell shown.

CIF file:
```
data_RbMn2Mo
_chemical_formula_sum 'Rb4 Mn8 Mo4'
_symmetry_space_group_name_H-M 'F m -3 m'
_symmetry_Int_Tables_number 225
_symmetry_space_group_name_Hall '-F 4 2 3'
_cell_length_a 6.713
_cell_length_b 6.713
_cell_length_c 6.713
_cell_angle_alpha 90.00
_cell_angle_beta 90.00
_cell_angle_gamma 90.00
loop_
_atom_site_label
_atom_site_type_symbol
_atom_site_fract_x
_atom_site_fract_y
_atom_site_fract_z
Rb1 Rb 0.000 0.000 0.000
Mn1 Mn 0.250 0.250 0.250
Mo1 Mo 0.000 0.000 0.500
```